Below is a geometry-optimized YCoPb2 structure, with properties calculated at the PBE level.

## Properties
Energy = -5.047 eV/atom
Calculated volume = 375 Å³ per cell

Lattice parameters (Å, degrees): 7.214 7.214 7.214 90.00 90.00 90.00
Space group F-43m (No. 216)
One atom of each set of equivalent atoms:
Y 0.000 0.000 0.000
Co 0.250 0.250 0.250
Pb 0.000 0.000 0.500
Pb 0.250 0.250 0.750

---

Below is a geometry-optimized Gd2ErCd4Hg2 structure, with properties calculated at the PBE level.

## Properties
Energy of formation from the pure elements = -0.372 eV/atom
Energy = -2.377 eV/atom
Calculated volume = 442 Å³ per cell

Lattice parameters (Å, degrees): 4.440 13.084 7.604 90.00 90.00 90.00
Space group Amm2 (No. 38)
One atom of each set of equivalent atoms:
Gd 0.000 0.211 0.000
Er 0.000 0.000 0.364
Cd 0.000 0.000 0.783
Cd 0.500 0.000 0.030
Cd 0.500 0.123 0.666
Hg 0.500 0.165 0.289

---

Below is a geometry-optimized ScZnCdCo structure, with properties calculated at the PBE level.

## Properties
Offset from the most stable computed form = 0.61 kcal/mol of atoms
Energy of formation from the pure elements = -0.023 eV/atom
Energy = -3.922 eV/atom
Calculated volume = 263 Å³ per cell

Lattice parameters (Å, degrees): 6.411 6.411 6.411 90.00 90.00 90.00
Space group F-43m (No. 216)
One atom of each set of equivalent atoms:
Sc 0.000 0.000 0.000
Zn 0.250 0.250 0.250
Cd 0.250 0.250 0.750
Co 0.000 0.000 0.500

---

Below is a geometry-optimized In2Fe structure, with properties calculated at the PBE level.

## Properties
Energy = -3.698 eV/atom
Calculated volume = 507 Å³ per cell

Lattice parameters (Å, degrees): 7.976 7.976 7.976 90.00 90.00 90.00
Space group Fd-3m (No. 227, origin choice 2)
One atom of each set of equivalent atoms:
In 0.000 0.000 0.000
Fe 0.125 0.125 0.625

---

Below is a geometry-optimized Zn3MoN4 structure, with properties calculated at the PBE level.

## Properties
Energy = -6.175 eV/atom
Calculated volume = 196 Å³ per cell

Lattice parameters (Å, degrees): 6.524 5.645 5.332 90.00 90.00 90.00
Space group Pmn2_1 (No. 31)
One atom of each set of equivalent atoms:
Zn 0.000 0.166 0.000
Zn 0.249 0.332 0.501
Mo 0.000 0.830 0.499
N 0.000 0.144 0.382
N 0.000 0.829 0.850
N 0.238 0.673 0.383

---

Below is a geometry-optimized KLuSO structure, with properties calculated at the PBE level.

## Properties
Offset from the most stable computed form = 1.00 kcal/mol of atoms
Energy = -5.984 eV/atom
Calculated volume = 333 Å³ per cell

Lattice parameters (Å, degrees): 5.574 5.592 11.034 90.00 104.17 90.00
Space group P2_1 (No. 4)
One atom of each set of equivalent atoms:
K 0.051 0.000 0.105
K 0.449 0.000 0.895
Lu 0.047 0.269 0.594
Lu 0.453 0.269 0.406
S 0.103 0.501 0.217
S 0.397 0.501 0.783
O 0.249 0.021 0.500
O 0.249 0.521 0.500

---

Below is a geometry-optimized Ho2TlCoCu structure, with properties calculated at the PBE level.

## Properties
Energy = -4.766 eV/atom
Calculated volume = 208 Å³ per cell

Lattice parameters (Å, degrees): 3.683 3.951 14.293 90.00 90.00 90.00
Space group Amm2 (No. 38)
One atom of each set of equivalent atoms:
Ho 0.000 0.000 0.000
Ho 0.000 0.000 0.279
Tl 0.500 0.000 0.635
Co 0.500 0.000 0.437
Cu 0.500 0.000 0.839

---

Below is a geometry-optimized CsPtPb structure, with properties calculated at the PBE level.

## Properties
Offset from the most stable computed form = 11.46 kcal/mol of atoms
Energy = -3.270 eV/atom
Calculated volume = 410 Å³ per cell

Lattice parameters (Å, degrees): 7.431 7.431 7.431 90.00 90.00 90.00
Space group F-43m (No. 216)
One atom of each set of equivalent atoms:
Cs 0.000 0.000 0.000
Pt 0.250 0.250 0.250
Pb 0.000 0.000 0.500

---

Below is a geometry-optimized LiYAu2 structure, with properties calculated at the PBE level.

## Properties
Offset from the most stable computed form = 2.12 kcal/mol of atoms
Energy = -4.380 eV/atom
Calculated volume = 82 Å³ per cell

Lattice parameters (Å, degrees): 4.798 4.798 3.562 90.00 90.00 90.00
Space group P4/mmm (No. 123)
One atom of each set of equivalent atoms:
Li 0.000 0.000 0.000
Y 0.500 0.500 0.000
Au 0.000 0.500 0.500

---

Below is a geometry-optimized GdBiN2O structure, with properties calculated at the PBE level.

## Properties
Energy = -6.291 eV/atom
Calculated volume = 147 Å³ per cell

Lattice parameters (Å, degrees): 5.898 4.026 6.196 90.00 90.00 90.00
Space group Pmma (No. 51)
One atom of each set of equivalent atoms:
Gd 0.250 0.000 0.197
Bi 0.250 0.500 0.732
N 0.000 0.500 0.500
N 0.250 0.000 0.834
O 0.000 0.500 0.000

---

Below is a geometry-optimized SrPrNb structure, with properties calculated at the PBE level.

## Properties
Energy = -4.418 eV/atom
Calculated volume = 454 Å³ per cell

Lattice parameters (Å, degrees): 7.687 7.687 7.687 90.00 90.00 90.00
Space group F-43m (No. 216)
One atom of each set of equivalent atoms:
Sr 0.000 0.000 0.000
Pr 0.000 0.000 0.500
Nb 0.250 0.250 0.750

---

Below is a geometry-optimized Co124Bi structure, with properties calculated at the PBE level.

## Properties
Energy = -7.047 eV/atom
Calculated volume = 5398 Å³ per cell

Lattice parameters (Å, degrees): 17.542 17.542 17.542 90.00 90.00 90.00
Space group Fm-3m (No. 225)
One atom of each set of equivalent atoms:
Co 0.000 0.000 0.100
Co 0.000 0.000 0.300
Co 0.000 0.100 0.200
Co 0.000 0.106 0.394
Co 0.000 0.201 0.299
Co 0.100 0.100 0.100
Co 0.100 0.200 0.200
Co 0.101 0.101 0.299
Co 0.200 0.200 0.300
Bi 0.000 0.000 0.500

---

Below is a geometry-optimized HfTlCdNi structure, with properties calculated at the PBE level.

## Properties
Energy = -4.469 eV/atom
Calculated volume = 303 Å³ per cell

Lattice parameters (Å, degrees): 6.717 6.717 6.717 90.00 90.00 90.00
Space group F-43m (No. 216)
One atom of each set of equivalent atoms:
Hf 0.000 0.000 0.000
Tl 0.250 0.250 0.250
Cd 0.250 0.250 0.750
Ni 0.000 0.000 0.500

---

Below is a geometry-optimized TcNi2Sn structure, with properties calculated at the PBE level.

## Properties
Energy = -6.264 eV/atom
Calculated volume = 228 Å³ per cell

Lattice parameters (Å, degrees): 6.106 6.106 6.106 90.00 90.00 90.00
Space group F-43m (No. 216)
One atom of each set of equivalent atoms:
Tc 0.000 0.000 0.000
Ni 0.000 0.000 0.500
Ni 0.250 0.250 0.250
Sn 0.250 0.250 0.750

---

Below is a geometry-optimized KHgP structure, with properties calculated at the PBE level.

## Properties
Energy = -2.342 eV/atom
Calculated volume = 227 Å³ per cell

Lattice parameters (Å, degrees): 7.2747 7.2747 4.9443 90.00 90.00 120.00
Space group P-62m (No. 189)
One atom of each set of equivalent atoms:
K 0.0000 0.5746 0.0000
Hg 0.0000 0.2648 0.5000
P 0.0000 0.0000 0.0000
P 0.3333 0.6667 0.5000

---

Below is a geometry-optimized BIr structure, with properties calculated at the PBE level.

## Properties
Energy = -7.697 eV/atom
Calculated volume = 106 Å³ per cell

Lattice parameters (Å, degrees): 4.726 4.726 4.726 90.00 90.00 90.00
Space group F-43m (No. 216)
One atom of each set of equivalent atoms:
B 0.000 0.000 0.000
Ir 0.250 0.250 0.750

---

Below is a geometry-optimized CdReO3 structure, with properties calculated at the PBE level.

## Properties
Energy = -6.405 eV/atom
Calculated volume = 257 Å³ per cell

Lattice parameters (Å, degrees): 5.302 8.241 5.889 90.00 90.00 90.00
Space group Pnma (No. 62)
One atom of each set of equivalent atoms:
Cd 0.000 0.000 0.000
Re 0.002 0.250 0.480
O 0.133 0.583 0.350
O 0.151 0.750 0.827

---

Below is a geometry-optimized DyCdRe structure, with properties calculated at the PBE level.

## Properties
Energy of formation from the pure elements = 0.960 eV/atom
Energy = -5.013 eV/atom
Calculated volume = 284 Å³ per cell

Lattice parameters (Å, degrees): 6.575 6.575 6.575 90.00 90.00 90.00
Space group F-43m (No. 216)
One atom of each set of equivalent atoms:
Dy 0.000 0.000 0.000
Cd 0.250 0.250 0.250
Re 0.000 0.000 0.500